## AgPBr2 (PBE-GGA)

Data for an optimized crystal structure of AgPBr2.

The crystal system is cubic. The value obtained for the density of states at the Fermi level is 18.1 states/eV/cell. The total energy is -0.08387 hartree per atom. The calculation puts the uncorrected formation energy at 2.478 eV per formula unit. The value obtained for the energy relative to the lowest polymorph listed for this composition is 575 meV per atom.

It has space group Fm-3m (No. 225), with a = 7.0791 Å, b = 7.0791 Å, c = 7.0791 Å, α = 90.00°, β = 90.00° and γ = 90.00°. The inequivalent atoms are Ag at (0.0000, 0.0000, 0.0000), P at (0.0000, 0.0000, 0.5000) and Br at (0.2500, 0.2500, 0.2500).

---

## Pr6AgP2Br3 (PBE-GGA)

Data for an optimized crystal structure of Pr6AgP2Br3.

The crystal system is monoclinic. The value obtained for the density of states at the Fermi level is 15.0 states/eV/cell. The total energy is -0.18893 hartree per atom. The calculation puts the uncorrected formation energy at -14.326 eV per formula unit.

It has space group C2/m (No. 12), with a = 19.1786 Å, b = 4.1969 Å, c = 8.9487 Å, α = 90.00°, β = 105.99° and γ = 90.00°. The inequivalent atoms are Pr at (0.0129, 0.0000, 0.2394), Pr at (0.1663, 0.5000, 0.1137), Pr at (0.1762, 0.5000, 0.5542), Ag at (0.0000, 0.5000, 0.0000), P at (0.1691, 0.0000, 0.3331), Br at (0.0000, 0.5000, 0.5000) and Br at (0.1636, 0.0000, 0.8252).

---

## AgPSeBr2 (PBE-GGA)

Data for an optimized crystal structure of AgPSeBr2.

The crystal system is tetragonal. The value obtained for the density of states at the Fermi level is 2.6 states/eV/cell. The total energy is -0.08448 hartree per atom. The calculation puts the uncorrected formation energy at 3.597 eV per formula unit. The value obtained for the energy relative to the lowest polymorph listed for this composition is 456 meV per atom.

It has space group P4/mmm (No. 123), with a = 5.4862 Å, b = 5.4862 Å, c = 5.1292 Å, α = 90.00°, β = 90.00° and γ = 90.00°. The inequivalent atoms are Ag at (0.0000, 0.0000, 0.0000), P at (0.5000, 0.5000, 0.0000), Se at (0.0000, 0.0000, 0.5000) and Br at (0.0000, 0.5000, 0.5000).

---

## AgPSeBr2 (PBE-GGA)

Data for an optimized crystal structure of AgPSeBr2.

The crystal system is tetragonal. The value obtained for the density of states at the Fermi level is 2.6 states/eV/cell. The total energy is -0.08292 hartree per atom. The calculation puts the uncorrected formation energy at 3.809 eV per formula unit. The value obtained for the energy relative to the lowest polymorph listed for this composition is 499 meV per atom.

It has space group P4/mmm (No. 123), with a = 5.1278 Å, b = 5.1278 Å, c = 5.4056 Å, α = 90.00°, β = 90.00° and γ = 90.00°. The inequivalent atoms are Ag at (0.0000, 0.0000, 0.0000), P at (0.5000, 0.5000, 0.5000), Se at (0.0000, 0.0000, 0.5000) and Br at (0.0000, 0.5000, 0.0000).

---

## AgPSeBr2 (PBE-GGA)

Data for an optimized crystal structure of AgPSeBr2.

The crystal system is tetragonal. The value obtained for the density of states at the Fermi level is 1.8 states/eV/cell. The total energy is -0.10125 hartree per atom. The calculation puts the uncorrected formation energy at 1.316 eV per formula unit. The value obtained for the energy relative to the lowest polymorph listed for this composition is 0 meV per atom.

It has space group P4/mmm (No. 123), with a = 5.2110 Å, b = 5.2110 Å, c = 4.7879 Å, α = 90.00°, β = 90.00° and γ = 90.00°. The inequivalent atoms are Ag at (0.0000, 0.0000, 0.0000), P at (0.5000, 0.5000, 0.5000), Se at (0.5000, 0.5000, 0.0000) and Br at (0.0000, 0.5000, 0.5000).

---

## Pa2AgBr8 (PBE-GGA)

Data for an optimized crystal structure of Pa2AgBr8.

The crystal system is monoclinic. The value obtained for the density of states at the Fermi level is 1.8 states/eV/cell. The total energy is -0.15864 hartree per atom. The calculation puts the uncorrected formation energy at -12.259 eV per formula unit.

It has space group C2/m (No. 12), with a = 14.1512 Å, b = 8.6860 Å, c = 8.2632 Å, α = 90.00°, β = 119.58° and γ = 90.00°. The inequivalent atoms are Pa at (0.1142, 0.0000, 0.0331), Ag at (0.0000, 0.0000, 0.5000), Br at (0.0519, 0.2123, 0.2409), Br at (0.1770, 0.5000, 0.6882) and Br at (0.2004, 0.0000, 0.7854).

---

## PaAg2Br8 (PBE-GGA)

Data for an optimized crystal structure of PaAg2Br8.

The crystal system is monoclinic. The value obtained for the density of states at the Fermi level is 3.3 states/eV/cell. The total energy is -0.12692 hartree per atom. The calculation puts the uncorrected formation energy at -9.409 eV per formula unit. The value obtained for the energy relative to the lowest polymorph listed for this composition is 0 meV per atom.

It has space group C2/m (No. 12), with a = 11.5569 Å, b = 11.8005 Å, c = 6.2224 Å, α = 90.00°, β = 92.59° and γ = 90.00°. The inequivalent atoms are Pa at (0.0000, 0.0000, 0.0000), Ag at (0.2331, 0.5000, 0.2494), Br at (0.0126, 0.5000, 0.2521), Br at (0.1063, 0.1694, 0.7793) and Br at (0.1888, 0.0000, 0.2733).

---

## PaAg3Br8 (PBE-GGA)

Data for an optimized crystal structure of PaAg3Br8.

The crystal system is orthorhombic. The total energy is -0.12770 hartree per atom. The calculation puts the uncorrected formation energy at -10.266 eV per formula unit.

It has space group C222 (No. 21), with a = 9.4167 Å, b = 9.4409 Å, c = 9.5289 Å, α = 90.00°, β = 90.00° and γ = 90.00°. The inequivalent atoms are Pa at (0.0000, 0.0000, 0.0000), Ag at (0.0000, 0.0000, 0.5000), Ag at (0.2500, 0.2500, 0.6419), Br at (0.0015, 0.2069, 0.7943), Br at (0.2171, 0.5000, 0.0000) and Br at (0.2286, 0.5000, 0.5000).